A plane-wave DFT calculation with PBE-GGA was carried out for a relaxed structure of YH3Pt. Values from VASP.

Cell and atoms, written as Quantum ESPRESSO input:
```
&SYSTEM
  ibrav = 0, nat = 5, ntyp = 3
/
ATOMIC_SPECIES
Y 88.91 Y.upf
H 1.01 H.upf
Pt 195.08 Pt.upf
CELL_PARAMETERS angstrom
3.721 0.000 0.000
0.000 3.721 0.000
0.000 0.000 3.721
ATOMIC_POSITIONS angstrom
Y 0.000 0.000 0.000
H 0.000 1.860 1.860
H 1.860 0.000 1.860
H 1.860 1.860 0.000
Pt 1.860 1.860 1.860
```

Summary:
VASP energy	-5.01	eV/atom